1.
First-principles (SCAN) data for CsTa2AgMo at its PBEsol-relaxed geometry, as listed in Alexandria via LeMat-Bulk.

Cell and atoms, written as POSCAR:
```
CsTa2AgMo
1.0
5.030 0.000 0.000
0.000 5.030 0.000
0.000 0.000 5.227
Ta Mo Cs Ag
2 1 1 1
Direct
0.500 0.000 0.000
0.000 0.500 0.000
0.000 0.000 0.500
0.500 0.500 0.500
0.000 0.000 0.000
```

Summary:
ΔH_f (0 K)   2345 meV/atom
SG   P4/mmm (123)



2.
First-principles (SCAN) data for Cs2AgN2 at its PBEsol-relaxed geometry, as listed in Alexandria via LeMat-Bulk.

Cell and atoms, written as POSCAR:
```
Cs2AgN2
1.0
-3.022 -0.809 2.211
5.053 -4.737 5.172
1.642 6.996 4.804
Ag Cs N
2 4 4
Direct
0.000 0.500 0.500
0.000 0.000 0.000
0.500 0.269 0.231
0.500 0.769 0.269
0.500 0.231 0.731
0.500 0.731 0.769
0.000 0.452 0.952
0.000 0.952 0.548
0.000 0.048 0.452
0.000 0.548 0.048
```

Summary:
SG   P4/mbm (127)
ΔE_f (raw)   -0.40 eV/f.u.